No. 1
BeAsRu2: optimized geometry, GGA-PBE.

a b c (Å): 4.172 4.172 4.770
angles (deg): 76.02 76.02 40.75
Element x y z (fractional)
Ru 0.021 0.021 0.981
Ru 0.479 0.479 0.519
As 0.250 0.250 0.250
Be 0.750 0.750 0.750

Results
ΔH_f (0 K) = -0.1 eV/f.u.
Space-group type = C2/m
Excess energy over the best structure of this formula in the dataset = 209 meV per atom
Calculated total energy = -6.768 eV per atom

---

No. 2
BeAsRu3: optimized geometry, GGA-PBE.

a b c (Å): 4.117 4.117 4.117
angles (deg): 90.00 90.00 90.00
Site moments in Bohr magnetons follow the coordinates.
Element x y z (fractional)
Ru 0.000 0.500 0.000  0.10
Ru 0.000 0.000 0.500  0.06
Ru 0.500 0.000 0.000  0.07
As 0.500 0.500 0.500  -0.01
Be 0.000 0.000 0.000  0.00

Results
ΔH_f (0 K) = 2.7 eV/f.u.
Space-group type = Pm-3m
Excess energy over the best structure of this formula in the dataset = 0 meV per atom
Calculated total energy = -6.706 eV per atom

---

No. 3
BeAsRu2: optimized geometry, GGA-PBE.

a b c (Å): 6.252 6.252 5.263
angles (deg): 53.56 53.56 90.00
Element x y z (fractional)
Ru 0.601 0.125 0.250
Ru 0.149 0.625 0.250
Ru 0.375 0.399 0.750
Ru 0.875 0.851 0.750
As 0.000 0.000 0.000
As 0.750 0.250 0.500
Be 0.500 0.500 0.000
Be 0.250 0.750 0.500

Results
ΔH_f (0 K) = 1.4 eV/f.u.
Space-group type = I-42d
Excess energy over the best structure of this formula in the dataset = 605 meV per atom
Calculated total energy = -6.373 eV per atom

---

No. 4
BeAsRuSe2: optimized geometry, GGA-PBE.

a b c (Å): 4.989 4.989 4.592
angles (deg): 90.00 90.00 90.00
Element x y z (fractional)
Ru 0.000 0.000 0.000
As 0.000 0.000 0.500
Se 0.000 0.500 0.000
Se 0.500 0.000 0.000
Be 0.500 0.500 0.500

Results
Space-group type = P4/mmm
Excess energy over the best structure of this formula in the dataset = 122 meV per atom
Calculated total energy = -4.054 eV per atom

---

No. 5
BeAs2RuSe: optimized geometry, GGA-PBE.

a b c (Å): 4.598 4.598 5.454
angles (deg): 90.00 90.00 90.00
Element x y z (fractional)
Ru 0.000 0.000 0.000
As 0.000 0.500 0.000
As 0.500 0.000 0.000
Se 0.000 0.000 0.500
Be 0.500 0.500 0.500

Results
Space-group type = P4/mmm
Excess energy over the best structure of this formula in the dataset = 52 meV per atom
Calculated total energy = -4.319 eV per atom

---

No. 6
BeAs2RuSe: optimized geometry, GGA-PBE.

a b c (Å): 4.293 4.293 4.630
angles (deg): 90.00 90.00 90.00
Site moments in Bohr magnetons follow the coordinates.
Element x y z (fractional)
Ru 0.500 0.500 0.500  0.28
As 0.000 0.500 0.000  0.00
As 0.500 0.000 0.000  0.00
Se 0.000 0.000 0.500  0.01
Be 0.000 0.000 0.000  0.00

Results
Space-group type = P4/mmm
Excess energy over the best structure of this formula in the dataset = 0 meV per atom
Calculated total energy = -4.371 eV per atom

---

> calculated total energy of number 4 (BeAsRuSe2)?

-4.054 eV per atom